NaLa2Pb3S6 | GGA-PBE | relaxed

Properties
As for the uncorrected formation energy: -14.327 eV/f.u. The value obtained for the spin magnetization is 0.002 μB/f.u. As for the total energy: -5.116 eV per atom.

a = 18.3055 Å, b = 4.3544 Å, c = 8.3509 Å
α = 90.00°, β = 104.00°, γ = 90.00°
Space group C2/m (No. 12)
Inequivalent atoms, fractional coordinates:
Na (0.0000, 0.0000, 0.0000) [2 per cell]
La (0.1646, 0.5000, 0.3207) [4 per cell]
Pb (0.0000, 0.0000, 0.5000) [2 per cell]
Pb (0.1595, 0.5000, 0.8528) [4 per cell]
S (0.0059, 0.5000, 0.2518) [4 per cell]
S (0.1682, 0.0000, 0.0833) [4 per cell]
S (0.1708, 0.0000, 0.5601) [4 per cell]


Ca6TlHg2 | GGA-PBE | relaxed

Properties
The value obtained for the spin magnetization is 0.000 μB/f.u. As for the total energy: -2.025 eV per atom.

a = 10.0723 Å, b = 10.5070 Å, c = 11.1882 Å
α = 90.00°, β = 90.00°, γ = 90.00°
Space group Immm (No. 71)
Inequivalent atoms, fractional coordinates:
Ca (0.0000, 0.1927, 0.2462) [8 per cell]
Ca (0.2083, 0.5000, 0.1632) [8 per cell]
Ca (0.2185, 0.3203, 0.5000) [8 per cell]
Tl (0.0000, 0.0000, 0.0000) [2 per cell]
Tl (0.0000, 0.0000, 0.5000) [2 per cell]
Hg (0.0000, 0.3378, 0.0000) [4 per cell]
Hg (0.0000, 0.5000, 0.3626) [4 per cell]


InFe3Ge | GGA-PBE | relaxed

Properties
The calculation puts the energy relative to the lowest polymorph listed for this composition at 0.0000 eV per atom. The value obtained for the spin magnetization is 6.476 μB/f.u. As for the total energy: -5.854 eV per atom.

a = 4.4148 Å, b = 4.4148 Å, c = 4.4148 Å
α = 90.00°, β = 90.00°, γ = 90.00°
Space group Pm-3m (No. 221)
Inequivalent atoms, fractional coordinates:
In (0.0000, 0.0000, 0.0000) [1 per cell]
Fe (0.0000, 0.5000, 0.5000) [3 per cell]
Ge (0.5000, 0.5000, 0.5000) [1 per cell]


BaNp4Ag3Se12 | GGA-PBE | relaxed

Properties
As for the uncorrected formation energy: -15.867 eV/f.u. The value obtained for the spin magnetization is 8.888 μB/f.u. As for the total energy: -5.996 eV per atom.

a = 10.3766 Å, b = 10.3766 Å, c = 10.3766 Å
α = 90.00°, β = 90.00°, γ = 90.00°
Space group Im-3 (No. 204)
Inequivalent atoms, fractional coordinates:
Ba (0.0000, 0.0000, 0.0000) [2 per cell]
Np (0.2500, 0.2500, 0.2500) [8 per cell]
Ag (0.0000, 0.0000, 0.5000) [6 per cell]
Se (0.0000, 0.1744, 0.3024) [24 per cell]


PrMn3P3 | GGA-PBE | relaxed

Properties
The value obtained for the spin magnetization is 6.289 μB/f.u. As for the total energy: -7.358 eV per atom.

a = 6.2702 Å, b = 6.2702 Å, c = 6.2702 Å
α = 90.00°, β = 90.00°, γ = 90.00°
Space group Pm-3n (No. 223)
Inequivalent atoms, fractional coordinates:
Pr (0.0000, 0.0000, 0.0000) [2 per cell]
Mn (0.0000, 0.2500, 0.5000) [6 per cell]
P (0.0000, 0.5000, 0.2500) [6 per cell]


Ta2CoNi | GGA-PBE | relaxed

Properties
The calculation puts the energy relative to the lowest polymorph listed for this composition at 0.0000 eV per atom. The value obtained for the spin magnetization is 0.000 μB/f.u. As for the total energy: -9.334 eV per atom.

a = 2.7823 Å, b = 4.3722 Å, c = 4.7493 Å
α = 90.00°, β = 97.02°, γ = 90.00°
Space group Pm (No. 6)
Inequivalent atoms, fractional coordinates:
Ta (0.0000, 0.0000, 0.0000) [1 per cell]
Ta (0.1841, 0.5000, 0.5980) [1 per cell]
Co (0.5737, 0.5000, 0.1183) [1 per cell]
Ni (0.6131, 0.0000, 0.4701) [1 per cell]


Ac3InRh8 | GGA-PBE | relaxed

Properties
The value obtained for the spin magnetization is 0.000 μB/f.u. As for the total energy: -6.605 eV per atom.

a = 5.4887 Å, b = 5.4887 Å, c = 27.0969 Å
α = 90.00°, β = 90.00°, γ = 120.00°
Space group R3m (No. 160, hexagonal axes)
Inequivalent atoms, fractional coordinates:
Ac (0.0000, 0.0000, 0.0000) [3 per cell]
Ac (0.0000, 0.0000, 0.1277) [3 per cell]
Ac (0.0000, 0.0000, 0.5083) [3 per cell]
In (0.0000, 0.0000, 0.6311) [3 per cell]
Rh (0.0000, 0.0000, 0.3152) [3 per cell]
Rh (0.0000, 0.0000, 0.8156) [3 per cell]
Rh (0.0004, 0.5002, 0.5676) [9 per cell]
Rh (0.1678, 0.3356, 0.3974) [9 per cell]


Hf4C3N | GGA-PBE | relaxed

Properties
As for the uncorrected formation energy: -9.554 eV/f.u. The value obtained for the spin magnetization is 0.000 μB/f.u. As for the total energy: -10.671 eV per atom.

a = 3.2740 Å, b = 3.2740 Å, c = 32.0051 Å
α = 90.00°, β = 90.00°, γ = 120.00°
Space group R-3m (No. 166, hexagonal axes)
Inequivalent atoms, fractional coordinates:
Hf (0.0000, 0.0000, 0.1239) [6 per cell]
Hf (0.0000, 0.0000, 0.3745) [6 per cell]
C (0.0000, 0.0000, 0.0000) [3 per cell]
C (0.0000, 0.0000, 0.2483) [6 per cell]
N (0.0000, 0.0000, 0.5000) [3 per cell]


SrCdGa2O | GGA-PBE | relaxed

Properties
As for the uncorrected formation energy: -1.353 eV/f.u. The value obtained for the spin magnetization is 0.000 μB/f.u. As for the total energy: -2.992 eV per atom.

a = 4.9218 Å, b = 4.9218 Å, c = 4.6554 Å
α = 90.00°, β = 90.00°, γ = 90.00°
Space group P4/mmm (No. 123)
Inequivalent atoms, fractional coordinates:
Sr (0.0000, 0.0000, 0.0000) [1 per cell]
Cd (0.5000, 0.5000, 0.0000) [1 per cell]
Ga (0.0000, 0.5000, 0.5000) [2 per cell]
O (0.5000, 0.5000, 0.5000) [1 per cell]


Ac8Nd3Dy | GGA-PBE | relaxed

Properties
The value obtained for the spin magnetization is 0.004 μB/f.u. As for the total energy: -3.729 eV per atom.

a = 9.3327 Å, b = 9.3327 Å, c = 12.8764 Å
α = 90.00°, β = 90.00°, γ = 90.00°
Space group I-42m (No. 121)
Inequivalent atoms, fractional coordinates:
Ac (0.1311, 0.1311, 0.2450) [8 per cell]
Ac (0.2479, 0.2479, 0.9924) [8 per cell]
Nd (0.0000, 0.0000, 0.5000) [2 per cell]
Nd (0.0000, 0.5000, 0.2500) [4 per cell]
Dy (0.0000, 0.0000, 0.0000) [2 per cell]


TiPRh2I | GGA-PBE | relaxed

Properties
As for the uncorrected formation energy: 0.237 eV/f.u. The value obtained for the spin magnetization is 0.013 μB/f.u. As for the total energy: -5.864 eV per atom.

a = 4.4804 Å, b = 4.4804 Å, c = 4.7091 Å
α = 90.00°, β = 90.00°, γ = 90.00°
Space group P4/mmm (No. 123)
Inequivalent atoms, fractional coordinates:
Ti (0.0000, 0.0000, 0.0000) [1 per cell]
P (0.0000, 0.0000, 0.5000) [1 per cell]
Rh (0.0000, 0.5000, 0.5000) [2 per cell]
I (0.5000, 0.5000, 0.0000) [1 per cell]


DyMgSc2 | GGA-PBE | relaxed

Properties
The calculation puts the energy relative to the lowest polymorph listed for this composition at 0.0099 eV per atom. The value obtained for the spin magnetization is 0.000 μB/f.u. As for the total energy: -4.708 eV per atom.

a = 3.3849 Å, b = 3.3849 Å, c = 8.9802 Å
α = 90.00°, β = 90.00°, γ = 90.00°
Space group P4/mmm (No. 123)
Inequivalent atoms, fractional coordinates:
Dy (0.0000, 0.0000, 0.0000) [1 per cell]
Mg (0.0000, 0.0000, 0.5000) [1 per cell]
Sc (0.5000, 0.5000, 0.2653) [2 per cell]